The following is a DFT calculation (PBE+U) of a relaxed structure of MnV3O.

abc: 4.077 4.077 4.077
angles: 90.00 90.00 90.00
Fractional positions:
Mn 0.000 0.000 0.000
V 0.000 0.500 0.500
V 0.500 0.000 0.500
V 0.500 0.500 0.000
O 0.500 0.500 0.500

Values from the calculation:
The offset from the most stable computed form comes out at 0.00 eV/f.u. The spin magnetization comes out at 7.127 μB/f.u. The calculation puts the uncorrected energy at -6.502 eV/atom.